1.
Computed, not measured: a relaxed structure of Ti2P2S at the GGA-PBEsol level of DFT.

a b c (Å): 6.5881 6.5881 3.3384
angles (deg): 90.00 90.00 90.00
Space group P4/mbm (No. 127)
Asymmetric unit:
Ti1 0.1635 0.3365 0.0000
P1 0.1269 0.6269 0.5000
S1 0.0000 0.0000 0.0000

Calculated values
Uncorrected formation energy in eV/atom: -1.0222

2.
Computed, not measured: a relaxed structure of TiPWS2 at the GGA-PBEsol level of DFT.

a b c (Å): 4.5638 4.5638 4.7436
angles (deg): 90.00 90.00 90.00
Space group P4/mmm (No. 123)
Asymmetric unit:
Ti1 0.0000 0.0000 0.0000
P1 0.5000 0.5000 0.0000
W1 0.5000 0.5000 0.5000
S1 0.0000 0.5000 0.5000

Calculated values
Uncorrected formation energy in eV/atom: 0.3244

3.
Computed, not measured: a relaxed structure of Tl3PS4 at the GGA-PBEsol level of DFT.

a b c (Å): 8.6804 10.5473 8.9013
angles (deg): 90.00 90.00 90.00
Space group Pnma (No. 62)
Asymmetric unit:
Tl1 0.0593 0.0472 0.1968
Tl2 0.1138 0.7500 0.3888
P1 0.2209 0.7500 0.9713
S1 0.0031 0.7500 0.0608
S2 0.1609 0.0909 0.5343
S3 0.1984 0.7500 0.7396

Calculated values
Uncorrected formation energy in eV/atom: -0.3990

4.
Computed, not measured: a relaxed structure of TlZnP2S at the GGA-PBEsol level of DFT.

a b c (Å): 5.0829 5.0829 5.0242
angles (deg): 90.00 90.00 90.00
Space group P4/mmm (No. 123)
Asymmetric unit:
Tl1 0.0000 0.0000 0.0000
Zn1 0.5000 0.5000 0.5000
P1 0.0000 0.5000 0.0000
S1 0.0000 0.0000 0.5000

Calculated values
Uncorrected formation energy in eV/atom: 1.3768

5.
Computed, not measured: a relaxed structure of UP4S12 at the GGA-PBEsol level of DFT.

a b c (Å): 12.9014 12.9014 9.7034
angles (deg): 90.00 90.00 90.00
Space group I4_1/a (No. 88, origin choice 2)
Asymmetric unit:
U1 0.0000 0.2500 0.1250
P1 0.0056 0.4332 0.3801
S1 0.0650 0.0837 0.5771
S2 0.0797 0.1317 0.9036
S3 0.0933 0.0707 0.2212

Calculated values
Uncorrected formation energy in eV/atom: -0.3985

6.
Computed, not measured: a relaxed structure of UPS at the GGA-PBEsol level of DFT.

a b c (Å): 3.7069 3.7069 7.7506
angles (deg): 90.00 90.00 90.00
Space group P4/nmm (No. 129, origin choice 2)
Asymmetric unit:
U1 0.2500 0.2500 0.2188
P1 0.2500 0.7500 0.5000
S1 0.2500 0.2500 0.8603

Calculated values
Uncorrected formation energy in eV/atom: -1.1747